DFT (PBE) results for crystalline LiLaNdCo at its relaxed geometry.

Computed properties:
- calculated volume (Å³ per atom) = 23.10
- D(E_F) (states/eV/cell) = 4.089
- uncorrected energy (eV per atom) = -4.623

Cell lengths 5.074, 5.074, 5.074 Å; angles 60.00, 60.00, 60.00 degrees
Sites, in units of the cell vectors:
Li 0.500 0.500 0.500
Co 0.000 0.000 0.000
Nd 0.250 0.250 0.250
La 0.750 0.750 0.750